Entry A
The following is a DFT calculation (PBE) of a relaxed structure of GeN3F7.

a b c (Å): 9.7425 9.7425 4.4949
angles (deg): 90.00 90.00 90.00
Last column: nearest neighbours and their distance in Å.
Space group P4/mbm (No. 127)
Asymmetric unit:
Ge (0.0000, 0.5000, 0.0000) (multiplicity 2)  2 F 1.86
N (0.0000, 0.0000, 0.0000) (multiplicity 2)  2 F 2.25
N (0.2430, 0.2570, 0.5000) (multiplicity 4)  2 F 1.38
F (0.0000, 0.0000, 0.5000) (multiplicity 2)  2 N 2.25
F (0.1349, 0.6349, 0.0000) (multiplicity 4)  1 Ge 1.86
F (0.1792, 0.3208, 0.2622) (multiplicity 8)  1 N 1.38

Properties
Total moment (μB/f.u.): 4.48
V (Å³/cell): 426.6

Entry B
The following is a DFT calculation (PBE) of a relaxed structure of GeN3F7.

a b c (Å): 6.6336 6.6336 8.1430
angles (deg): 90.00 90.00 90.00
Last column: nearest neighbours and their distance in Å.
Space group P4/mbm (No. 127)
Asymmetric unit:
Ge (0.0000, 0.5000, 0.0000) (multiplicity 2)  2 F 2.01
N (0.0000, 0.0000, 0.0000) (multiplicity 2)  4 F 2.37
N (0.2377, 0.2623, 0.5000) (multiplicity 4)  2 F 1.37
F (0.0000, 0.0000, 0.5000) (multiplicity 2)  4 N 2.35
F (0.1482, 0.3518, 0.3675) (multiplicity 8)  1 N 1.37
F (0.2141, 0.7141, 0.0000) (multiplicity 4)  1 Ge 2.01

Properties
Total moment (μB/f.u.): 4.00
V (Å³/cell): 358.3

Which structure wins on stability? entry B wins.

Entry A
The following is a DFT calculation (PBE) of a relaxed structure of Ge2NF2.

a b c (Å): 7.0280 7.0280 2.7732
angles (deg): 90.00 90.00 90.00
Last column: nearest neighbours and their distance in Å.
Space group P4/mbm (No. 127)
Asymmetric unit:
Ge (0.2285, 0.2715, 0.0000) (multiplicity 4)  2 F 2.06
N (0.0000, 0.0000, 0.5000) (multiplicity 2)  2 N 2.77, 4 F 2.81, 8 Ge 2.85
F (0.1180, 0.6180, 0.5000) (multiplicity 4)  2 Ge 2.06

Properties
Total moment (μB/f.u.): 0.25
V (Å³/cell): 137.0

Entry B
The following is a DFT calculation (PBE) of a relaxed structure of Ge2NF2.

a b c (Å): 4.4428 4.4428 7.2030
angles (deg): 90.00 90.00 90.00
Last column: nearest neighbours and their distance in Å.
Space group I4/mmm (No. 139)
Asymmetric unit:
Ge (0.0000, 0.5000, 0.2500) (multiplicity 4)  4 F 2.31
N (0.0000, 0.0000, 0.0000) (multiplicity 2)  2 F 2.44
F (0.0000, 0.0000, 0.3384) (multiplicity 4)  4 Ge 2.31, 1 F 2.33, 1 N 2.44

Properties
Total moment (μB/f.u.): 0.99
V (Å³/cell): 142.2

Which structure wins on stability? entry A wins.

Entry A
The following is a DFT calculation (PBE) of a relaxed structure of GeN2F.

a b c (Å): 4.0853 4.0853 8.8794
angles (deg): 90.00 90.00 120.00
Last column: nearest neighbours and their distance in Å.
Space group R-3m (No. 166, hexagonal axes)
Asymmetric unit:
Ge (0.0000, 0.0000, 0.0000) (multiplicity 3)  2 N 1.79
N (0.0000, 0.0000, 0.2015) (multiplicity 6)  1 Ge 1.79
F (0.0000, 0.0000, 0.5000) (multiplicity 3)  8 N 2.38-2.65

Properties
Total moment (μB/f.u.): 0.00
V (Å³/cell): 128.3

Entry B
The following is a DFT calculation (PBE) of a relaxed structure of GeN2F.

a b c (Å): 3.1003 3.1003 16.2757
angles (deg): 90.00 90.00 120.00
Last column: nearest neighbours and their distance in Å.
Space group R-3m (No. 166, hexagonal axes)
Asymmetric unit:
Ge (0.0000, 0.0000, 0.0000) (multiplicity 3)  6 N 2.02
N (0.0000, 0.0000, 0.3910) (multiplicity 6)  1 F 1.77
F (0.0000, 0.0000, 0.5000) (multiplicity 3)  2 N 1.77

Properties
Total moment (μB/f.u.): 0.84
V (Å³/cell): 135.5

Which structure wins on stability? entry B wins.

Entry A
The following is a DFT calculation (PBE) of a relaxed structure of GeN2F5.

a b c (Å): 5.3567 5.3567 9.2681
angles (deg): 90.00 90.00 90.00
Last column: nearest neighbours and their distance in Å.
Space group P4/n (No. 85, origin choice 2)
Asymmetric unit:
Ge (0.2500, 0.2500, 0.2212) (multiplicity 2)  5 F 1.73-1.81
N (0.2500, 0.2500, 0.7976) (multiplicity 2)  4 F 2.11
N (0.2500, 0.7500, 0.5000) (multiplicity 2)  4 F 2.81
F (0.0197, 0.5656, 0.8272) (multiplicity 8)  1 Ge 1.81
F (0.2500, 0.2500, 0.4076) (multiplicity 2)  1 Ge 1.73

Properties
Total moment (μB/f.u.): 5.00
V (Å³/cell): 265.9

Entry B
The following is a DFT calculation (PBE) of a relaxed structure of GeN2F5.

a b c (Å): 3.8404 6.3455 6.4226
angles (deg): 79.20 74.44 74.13
Last column: nearest neighbours and their distance in Å.
Space group P1 (No. 1)
Asymmetric unit:
Ge (0.0000, 0.0000, 0.0000) (multiplicity 1)  6 F 1.79-1.92
N (0.4240, 0.4586, 0.4622) (multiplicity 1)  1 N 1.11
N (0.5729, 0.5406, 0.5378) (multiplicity 1)  1 N 1.11
F (0.1215, 0.7053, 0.0270) (multiplicity 1)  1 Ge 1.79
F (0.1254, 0.0110, 0.7102) (multiplicity 1)  1 Ge 1.79
F (0.5000, 0.0000, 0.0000) (multiplicity 1)  2 Ge 1.92
F (0.8747, 0.9887, 0.2899) (multiplicity 1)  1 Ge 1.79
F (0.8784, 0.2947, 0.9731) (multiplicity 1)  1 Ge 1.79

Properties
Total moment (μB/f.u.): 1.06
V (Å³/cell): 143.9

Which structure wins on stability? entry B wins.

Entry A
The following is a DFT calculation (PBE) of a relaxed structure of NaGeN2F.

a b c (Å): 3.6986 3.6986 4.4415
angles (deg): 90.00 90.00 90.00
Last column: nearest neighbours and their distance in Å.
Space group P4/mmm (No. 123)
Asymmetric unit:
Na (0.0000, 0.0000, 0.0000) (multiplicity 1)  4 F 2.62, 8 N 2.89
Ge (0.5000, 0.5000, 0.5000) (multiplicity 1)  4 N 1.85
N (0.0000, 0.5000, 0.5000) (multiplicity 2)  2 Ge 1.85
F (0.5000, 0.5000, 0.0000) (multiplicity 1)  2 Ge 2.22

Properties
Total moment (μB/f.u.): 0.40
V (Å³/cell): 60.8

Entry B
The following is a DFT calculation (PBE) of a relaxed structure of NaGeN2F.

a b c (Å): 4.4186 4.4186 3.9388
angles (deg): 90.00 90.00 90.00
Last column: nearest neighbours and their distance in Å.
Space group P4/mmm (No. 123)
Asymmetric unit:
Na (0.0000, 0.0000, 0.0000) (multiplicity 1)  2 F 1.97
Ge (0.5000, 0.5000, 0.5000) (multiplicity 1)  8 N 2.96, 4 F 3.12
N (0.0000, 0.5000, 0.0000) (multiplicity 2)  2 Na 2.21
F (0.0000, 0.0000, 0.5000) (multiplicity 1)  2 Na 1.97

Properties
Total moment (μB/f.u.): 4.00
V (Å³/cell): 76.9

Which structure wins on stability? entry A wins.

Entry A
The following is a DFT calculation (PBE) of a relaxed structure of NaGeNF2.

a b c (Å): 4.0324 4.0324 4.4422
angles (deg): 90.00 90.00 90.00
Last column: nearest neighbours and their distance in Å.
Space group P4/mmm (No. 123)
Asymmetric unit:
Na (0.0000, 0.0000, 0.0000) (multiplicity 1)  4 F 2.02, 2 N 2.22
Ge (0.5000, 0.5000, 0.5000) (multiplicity 1)  4 N 2.85, 8 F 3.00
N (0.0000, 0.0000, 0.5000) (multiplicity 1)  2 Na 2.22
F (0.0000, 0.5000, 0.0000) (multiplicity 2)  2 Na 2.02

Properties
Total moment (μB/f.u.): 2.00
V (Å³/cell): 72.2

Entry B
The following is a DFT calculation (PBE) of a relaxed structure of NaGeNF2.

a b c (Å): 4.2411 4.2411 3.4417
angles (deg): 90.00 90.00 90.00
Last column: nearest neighbours and their distance in Å.
Space group P4/mmm (No. 123)
Asymmetric unit:
Na (0.0000, 0.0000, 0.0000) (multiplicity 1)  8 F 2.73, 4 N 3.00
Ge (0.5000, 0.5000, 0.5000) (multiplicity 1)  2 N 1.72
N (0.5000, 0.5000, 0.0000) (multiplicity 1)  2 Ge 1.72
F (0.0000, 0.5000, 0.5000) (multiplicity 2)  2 Ge 2.12

Properties
Total moment (μB/f.u.): 0.00
V (Å³/cell): 61.9

Which structure wins on stability? entry B wins.